Entry 1:
VASP calculation (PBE) on CoCuRu2 after structural relaxation.

Values from the calculation:
Energy of formation from the pure elements (eV per atom): 0.2119
Electronic total energy (eV per atom): -7.2265
Theoretical density (g/cm3): 10.354

Cell: 8.603 8.603 8.603 Å, 17.82 17.82 17.82°
Each line ends with the local moment (μB).
Positions (direct):
Co: 0.500 0.500 0.500  1.49
Ru: 0.248 0.248 0.248  0.05
Ru: 0.999 0.999 0.999  -0.12
Cu: 0.753 0.753 0.753  0.02

---

Entry 2:
VASP calculation (PBE) on Co2CuRu after structural relaxation.

Values from the calculation:
Energy of formation from the pure elements (eV per atom): 0.7198
Electronic total energy (eV per atom): -6.1761
Theoretical density (g/cm3): 8.801

Cell: 6.519 6.519 5.248 Å, 51.60 51.60 90.00°
Each line ends with the local moment (μB).
Positions (direct):
Ru: 0.750 0.250 0.500  0.93
Ru: 0.000 0.000 0.000  0.93
Cu: 0.500 0.500 0.000  0.11
Cu: 0.250 0.750 0.500  0.11
Co: 0.632 0.125 0.250  1.57
Co: 0.375 0.368 0.750  1.57
Co: 0.875 0.882 0.750  1.57
Co: 0.118 0.625 0.250  1.57

---

Entry 3:
VASP calculation (PBE) on Co2CuRu after structural relaxation.

Values from the calculation:
Energy of formation from the pure elements (eV per atom): 0.2443
Electronic total energy (eV per atom): -6.6516
Theoretical density (g/cm3): 9.614

Cell: 3.690 3.706 3.568 Å, 90.00 90.00 90.00°
Each line ends with the local moment (μB).
Positions (direct):
Ru: 0.000 0.500 0.500  1.24
Cu: 0.500 0.000 0.500  0.21
Co: 0.500 0.500 0.000  1.77
Co: 0.000 0.000 0.000  1.77

---

Entry 4:
VASP calculation (PBE) on Co4CuRu after structural relaxation.

Values from the calculation:
Energy of formation from the pure elements (eV per atom): 0.2130
Electronic total energy (eV per atom): -6.7529
Theoretical density (g/cm3): 9.189

Cell: 4.677 4.677 4.677 Å, 60.00 60.00 60.00°
Each line ends with the local moment (μB).
Positions (direct):
Cu: 0.750 0.750 0.750  0.07
Co: 0.375 0.375 0.874  1.74
Co: 0.375 0.375 0.375  1.74
Co: 0.874 0.375 0.375  1.74
Co: 0.375 0.874 0.375  1.74
Ru: 0.000 0.000 0.000  1.31

---

Entry 5:
VASP calculation (PBE) on CoCuRu2 after structural relaxation.

Values from the calculation:
Energy of formation from the pure elements (eV per atom): 0.2680
Electronic total energy (eV per atom): -7.1705
Theoretical density (g/cm3): 10.576

Cell: 2.613 2.613 7.465 Å, 90.00 90.00 90.00°
Each line ends with the local moment (μB).
Positions (direct):
Ru: 0.000 0.000 0.011  -0.03
Ru: 0.000 0.000 0.489  -0.03
Cu: 0.500 0.500 0.750  -0.01
Co: 0.500 0.500 0.250  0.73

---

Entry 6:
VASP calculation (PBE) on Co2CuRu after structural relaxation.

Values from the calculation:
Energy of formation from the pure elements (eV per atom): 0.2676
Electronic total energy (eV per atom): -6.6284
Theoretical density (g/cm3): 9.590

Cell: 4.971 4.971 4.971 Å, 148.97 128.81 61.08°
Each line ends with the local moment (μB).
Positions (direct):
Co: 0.242 0.742 0.500  1.58
Co: 0.010 0.010 0.000  1.74
Cu: 0.491 0.491 0.000  0.08
Ru: 0.758 0.258 0.500  0.67

---

Entry 7:
VASP calculation (PBE) on Co2Cu2Ru after structural relaxation.

Values from the calculation:
Energy of formation from the pure elements (eV per atom): 0.4185
Electronic total energy (eV per atom): -5.9174
Theoretical density (g/cm3): 9.256

Cell: 6.750 6.750 2.725 Å, 90.00 90.00 90.00°
Each line ends with the local moment (μB).
Positions (direct):
Cu: 0.822 0.322 0.500  0.15
Cu: 0.178 0.678 0.500  0.15
Cu: 0.322 0.178 0.500  0.14
Cu: 0.678 0.822 0.500  0.14
Co: 0.381 0.881 0.000  1.65
Co: 0.881 0.619 0.000  1.64
Co: 0.619 0.119 0.000  1.65
Co: 0.119 0.381 0.000  1.64
Ru: 0.500 0.500 0.000  1.45
Ru: 0.000 0.000 0.000  1.45

---

Entry 8:
VASP calculation (PBE) on Co2CuRu after structural relaxation.

Values from the calculation:
Energy of formation from the pure elements (eV per atom): 0.1854
Electronic total energy (eV per atom): -6.7106
Theoretical density (g/cm3): 9.969

Cell: 2.597 2.597 6.977 Å, 90.00 90.00 90.00°
Positions (direct):
Co: 0.000 0.000 0.500
Co: 0.000 0.000 0.000
Ru: 0.500 0.500 0.750
Cu: 0.500 0.500 0.250

---

Entry 9:
VASP calculation (PBE) on CoCuRu2 after structural relaxation.

Values from the calculation:
Energy of formation from the pure elements (eV per atom): 0.3687
Electronic total energy (eV per atom): -7.0697
Theoretical density (g/cm3): 10.552

Cell: 4.165 4.165 4.165 Å, 60.00 60.00 60.00°
Each line ends with the local moment (μB).
Positions (direct):
Ru: 0.750 0.750 0.750  0.09
Ru: 0.250 0.250 0.250  0.09
Cu: 0.500 0.500 0.500  -0.02
Co: 0.000 0.000 0.000  1.42

---

Entry 10:
VASP calculation (PBE) on CoCuRu2 after structural relaxation.

Values from the calculation:
Energy of formation from the pure elements (eV per atom): 0.3817
Electronic total energy (eV per atom): -7.0567
Theoretical density (g/cm3): 10.167

Cell: 2.599 2.599 8.836 Å, 90.00 90.00 117.31°
Each line ends with the local moment (μB).
Positions (direct):
Cu: 0.500 0.500 0.750  0.01
Co: 0.500 0.500 0.250  1.73
Ru: 0.000 0.000 0.006  0.46
Ru: 0.000 0.000 0.494  0.46

---

Entry 11:
VASP calculation (PBE) on Co2CuRu after structural relaxation.

Values from the calculation:
Energy of formation from the pure elements (eV per atom): 0.2245
Electronic total energy (eV per atom): -6.6714
Theoretical density (g/cm3): 9.731

Cell: 2.569 3.653 5.137 Å, 90.00 90.00 90.00°
Each line ends with the local moment (μB).
Positions (direct):
Co: 0.000 0.000 0.004  1.38
Co: 0.500 0.500 0.247  1.68
Cu: 0.000 0.000 0.489  0.08
Ru: 0.500 0.500 0.759  0.36

---

Entry 12:
VASP calculation (PBE) on CoCuSbRu after structural relaxation.

Values from the calculation:
Electronic total energy (eV per atom): -6.0862
Formation energy without anion corrections (kJ/mol of formula units): 24.7
Theoretical density (g/cm3): 10.186

Cell: 4.302 4.302 4.302 Å, 60.00 60.00 60.00°
Positions (direct):
Sb: 0.250 0.250 0.250
Co: 0.000 0.000 0.000
Cu: 0.750 0.750 0.750
Ru: 0.500 0.500 0.500

---

Entry 13:
VASP calculation (PBE) on CoCuSiRu2 after structural relaxation.

Values from the calculation:
Electronic total energy (eV per atom): -5.8945
Formation energy without anion corrections (kJ/mol of formula units): 550.4
Theoretical density (g/cm3): 7.249

Cell: 4.413 4.149 4.413 Å, 90.00 90.00 90.00°
Positions (direct):
Ru: 0.000 0.000 0.500
Ru: 0.500 0.000 0.000
Si: 0.000 0.500 0.000
Co: 0.000 0.000 0.000
Cu: 0.500 0.500 0.500

---

Entry 14:
VASP calculation (PBE) on CoCuRuW after structural relaxation.

Values from the calculation:
Energy of formation from the pure elements (eV per atom): 0.1006
Electronic total energy (eV per atom): -8.2571
Theoretical density (g/cm3): 12.779

Cell: 4.215 4.215 4.215 Å, 60.00 60.00 60.00°
Positions (direct):
W: 0.500 0.500 0.500
Co: 0.750 0.750 0.750
Ru: 0.250 0.250 0.250
Cu: 0.000 0.000 0.000

---

Entry 15:
VASP calculation (PBE) on ZnCoCuRu after structural relaxation.

Values from the calculation:
Energy of formation from the pure elements (eV per atom): 0.1501
Electronic total energy (eV per atom): -5.2878
Theoretical density (g/cm3): 9.362

Cell: 4.169 4.169 4.169 Å, 60.00 60.00 60.00°
Each line ends with the local moment (μB).
Positions (direct):
Zn: 0.500 0.500 0.500  -0.03
Co: 0.750 0.750 0.750  1.60
Cu: 0.250 0.250 0.250  0.02
Ru: 0.000 0.000 0.000  0.92

---

Entry 16:
VASP calculation (PBE) on CoCu2S4 after structural relaxation.

Values from the calculation:
Electronic total energy (eV per atom): -4.7521
Formation energy without anion corrections (kJ/mol of formula units): -140.5
Theoretical density (g/cm3): 4.652

Cell: 6.774 6.835 6.835 Å, 59.77 60.30 60.30°
Positions (direct):
S: 0.747 0.724 0.783
S: 0.716 0.269 0.769
S: 0.284 0.731 0.231
S: 0.253 0.276 0.217
S: 0.253 0.717 0.776
S: 0.754 0.731 0.231
S: 0.246 0.269 0.769
S: 0.747 0.283 0.224
Cu: 0.500 0.000 0.000
Cu: 0.500 0.500 0.500
Cu: 0.122 0.128 0.628
Cu: 0.878 0.872 0.372
Co: 0.500 0.500 0.000
Co: 0.000 0.500 0.000

---

Entry 17:
VASP calculation (PBE) on Co3CuS4 after structural relaxation.

Values from the calculation:
Electronic total energy (eV per atom): -5.4578
Formation energy without anion corrections (kJ/mol of formula units): -167.8
Theoretical density (g/cm3): 5.219

Cell: 4.398 6.386 8.350 Å, 90.00 90.00 90.00°
Positions (direct):
S: 0.564 0.716 0.771
S: 0.064 0.284 0.729
S: 0.064 0.284 0.271
S: 0.564 0.716 0.229
S: 0.564 0.238 0.500
S: 0.064 0.761 0.500
S: 0.064 0.762 0.000
S: 0.564 0.239 0.000
Cu: 0.064 0.114 0.000
Cu: 0.564 0.886 0.500
Co: 0.564 0.381 0.249
Co: 0.564 0.381 0.751
Co: 0.564 0.889 0.000
Co: 0.064 0.111 0.500
Co: 0.064 0.619 0.251
Co: 0.064 0.619 0.749

---

Entry 18:
VASP calculation (PBE) on Co3CuS after structural relaxation.

Values from the calculation:
Electronic total energy (eV per atom): -4.5784
Formation energy without anion corrections (kJ/mol of formula units): 641.5
Theoretical density (g/cm3): 5.536

Cell: 4.339 4.339 4.339 Å, 90.00 90.00 90.00°
Each line ends with the local moment (μB).
Positions (direct):
S: 0.500 0.500 0.500  0.16
Co: 0.000 0.500 0.000  2.09
Co: 0.000 0.000 0.500  2.00
Co: 0.500 0.000 0.000  1.62
Cu: 0.000 0.000 0.000  0.16

---

Entry 19:
VASP calculation (PBE) on Co3Cu3S8 after structural relaxation.

Values from the calculation:
Electronic total energy (eV per atom): -5.0680
Formation energy without anion corrections (kJ/mol of formula units): -417.4
Theoretical density (g/cm3): 4.740

Cell: 6.817 6.817 6.817 Å, 58.95 58.95 58.95°
Positions (direct):
Co: 0.000 0.500 0.000
Co: 0.500 0.000 0.000
Co: 0.000 0.000 0.500
S: 0.244 0.244 0.786
S: 0.214 0.756 0.756
S: 0.237 0.237 0.237
S: 0.756 0.756 0.214
S: 0.244 0.786 0.244
S: 0.756 0.214 0.756
S: 0.786 0.244 0.244
S: 0.763 0.763 0.763
Cu: 0.000 0.000 0.000
Cu: 0.374 0.374 0.374
Cu: 0.626 0.626 0.626

---

Entry 20:
VASP calculation (PBE) on Co2CuS4 after structural relaxation.

Values from the calculation:
Electronic total energy (eV per atom): -5.3823
Formation energy without anion corrections (kJ/mol of formula units): -275.8
Theoretical density (g/cm3): 4.834

Cell: 6.701 6.701 6.701 Å, 60.00 60.00 60.00°
Positions (direct):
S: 0.336 0.888 0.888
S: 0.914 0.362 0.362
S: 0.362 0.362 0.914
S: 0.362 0.362 0.362
S: 0.888 0.888 0.336
S: 0.888 0.888 0.888
S: 0.362 0.914 0.362
S: 0.888 0.336 0.888
Co: 0.125 0.625 0.125
Co: 0.125 0.125 0.125
Co: 0.625 0.125 0.125
Co: 0.125 0.125 0.625
Cu: 0.500 0.500 0.500
Cu: 0.750 0.750 0.750

---

Entry 21:
VASP calculation (PBE) on Co2CuS after structural relaxation.

Values from the calculation:
Electronic total energy (eV per atom): -5.4073
Formation energy without anion corrections (kJ/mol of formula units): 77.8
Theoretical density (g/cm3): 7.207

Cell: 6.381 6.381 5.118 Å, 51.44 51.44 90.00°
Positions (direct):
Co: 0.375 0.439 0.750
Co: 0.561 0.125 0.250
Co: 0.875 0.811 0.750
Co: 0.189 0.625 0.250
Cu: 0.000 0.000 0.000
Cu: 0.750 0.250 0.500
S: 0.500 0.500 0.000
S: 0.250 0.750 0.500

---

Entry 22:
VASP calculation (PBE) on Co4CuS8 after structural relaxation.

Values from the calculation:
Electronic total energy (eV per atom): -5.3865
Formation energy without anion corrections (kJ/mol of formula units): -432.7
Theoretical density (g/cm3): 4.403

Cell: 6.668 6.668 6.668 Å, 60.00 60.00 60.00°
Positions (direct):
Co: 0.884 0.372 0.372
Co: 0.372 0.372 0.884
Co: 0.372 0.884 0.372
Co: 0.372 0.372 0.372
S: 0.162 0.613 0.613
S: 0.137 0.137 0.590
S: 0.137 0.590 0.137
S: 0.590 0.137 0.137
S: 0.613 0.613 0.162
S: 0.613 0.613 0.613
S: 0.613 0.162 0.613
S: 0.137 0.137 0.137
Cu: 0.750 0.750 0.750

---

Entry 23:
VASP calculation (PBE) on Co3CuS after structural relaxation.

Values from the calculation:
Electronic total energy (eV per atom): -5.5679
Formation energy without anion corrections (kJ/mol of formula units): 164.2
Theoretical density (g/cm3): 6.633

Cell: 4.086 4.086 4.086 Å, 90.00 90.00 90.00°
Each line ends with the local moment (μB).
Positions (direct):
Cu: 0.500 0.500 0.500  0.03
Co: 0.500 0.000 0.000  1.50
Co: 0.000 0.000 0.500  1.08
Co: 0.000 0.500 0.000  1.23
S: 0.000 0.000 0.000  0.05

---

Entry 24:
VASP calculation (PBE) on CoCu2Sn3S8 after structural relaxation.

Values from the calculation:
Electronic total energy (eV per atom): -4.6693
Formation energy without anion corrections (kJ/mol of formula units): -486.6
Theoretical density (g/cm3): 4.775

Cell: 7.308 7.308 7.308 Å, 60.29 60.29 60.29°
Each line ends with the local moment (μB).
Positions (direct):
S: 0.769 0.769 0.229  0.01
S: 0.231 0.231 0.771  0.01
S: 0.252 0.252 0.252  -0.01
S: 0.769 0.229 0.769  0.01
S: 0.748 0.748 0.748  -0.01
S: 0.229 0.769 0.769  0.01
S: 0.231 0.771 0.231  0.01
S: 0.771 0.231 0.231  0.01
Cu: 0.617 0.617 0.617  -0.01
Cu: 0.383 0.383 0.383  -0.01
Co: 0.000 0.000 0.000  0.92
Sn: 0.000 0.500 0.000  -0.01
Sn: 0.000 0.000 0.500  -0.01
Sn: 0.500 0.000 0.000  -0.01

---

Entry 25:
VASP calculation (PBE) on CoCuSnS4 after structural relaxation.

Values from the calculation:
Electronic total energy (eV per atom): -4.8983
Formation energy without anion corrections (kJ/mol of formula units): -248.3
Theoretical density (g/cm3): 4.819

Cell: 7.052 7.117 7.117 Å, 60.46 60.30 60.30°
Positions (direct):
Co: 0.500 0.000 0.500
Co: 0.000 0.000 0.500
S: 0.766 0.228 0.728
S: 0.252 0.214 0.282
S: 0.722 0.772 0.272
S: 0.748 0.786 0.718
S: 0.252 0.782 0.714
S: 0.748 0.218 0.286
S: 0.278 0.228 0.728
S: 0.234 0.772 0.272
Cu: 0.369 0.381 0.881
Cu: 0.631 0.619 0.119
Sn: 0.000 0.500 0.500
Sn: 0.000 0.000 0.000

---

Calculated size of the total moment, 1.39; 8.36; 4.92; 8.30; 0.63; 4.02; 9.93; 0.00; 1.59; 2.65; 3.43; 0.00; 0.00; 0.00; 2.50; 0.00; 0.00; 6.00; 0.00; 0.00; 0.00; 0.00; 3.71; 0.97; 0.00 Bohr magnetons per cell (same order as the records).